Entry 1:
# PrGe2Ru2C GGA-PBE optimized geometry
# **Total energy**: -7.267 eV/atom
data_PrGe2Ru2C
_chemical_formula_sum 'Pr1 Ge2 Ru2 C1'
_symmetry_space_group_name_H-M 'P 1'
_symmetry_Int_Tables_number 1
_symmetry_space_group_name_Hall 'P 1'
_cell_length_a 4.1327
_cell_length_b 4.1327
_cell_length_c 5.6643
_cell_angle_alpha 90.00
_cell_angle_beta 90.00
_cell_angle_gamma 90.00
loop_
_atom_site_label
_atom_site_type_symbol
_atom_site_fract_x
_atom_site_fract_y
_atom_site_fract_z
Pr1 Pr 0.0000 0.0000 0.0000
Ge1 Ge 0.5000 0.5000 0.2169
Ge2 Ge 0.5000 0.5000 0.7831
Ru1 Ru 0.0000 0.5000 0.5000
Ru2 Ru 0.5000 0.0000 0.5000
C1 C 0.0000 0.0000 0.5000

***

Entry 2:
# Pr3Ge2Ru3C GGA-PBE optimized geometry
# **Total energy**: -6.879 eV/atom
data_Pr3Ge2Ru3C
_chemical_formula_sum 'Pr3 Ge2 Ru3 C1'
_symmetry_space_group_name_H-M 'P 1'
_symmetry_Int_Tables_number 1
_symmetry_space_group_name_Hall 'P 1'
_cell_length_a 7.3710
_cell_length_b 7.3710
_cell_length_c 3.6935
_cell_angle_alpha 90.00
_cell_angle_beta 90.00
_cell_angle_gamma 120.00
loop_
_atom_site_label
_atom_site_type_symbol
_atom_site_fract_x
_atom_site_fract_y
_atom_site_fract_z
Pr1 Pr 0.0000 0.3720 0.0000
Pr2 Pr 0.3720 0.0000 0.0000
Pr3 Pr 0.6280 0.6280 0.0000
Ge1 Ge 0.3333 0.6667 0.5000
Ge2 Ge 0.6667 0.3333 0.5000
Ru1 Ru 0.0000 0.7883 0.5000
Ru2 Ru 0.2117 0.2117 0.5000
Ru3 Ru 0.7883 0.0000 0.5000
C1 C 0.0000 0.0000 0.0000

***

Entry 3:
# Pr2Sc2Ge2C GGA-PBE optimized geometry
# **Total energy**: -6.635 eV/atom
data_Pr2Sc2Ge2C
_chemical_formula_sum 'Pr2 Sc2 Ge2 C1'
_symmetry_space_group_name_H-M 'P 1'
_symmetry_Int_Tables_number 1
_symmetry_space_group_name_Hall 'P 1'
_cell_length_a 8.5150
_cell_length_b 8.5150
_cell_length_c 8.5150
_cell_angle_alpha 149.57
_cell_angle_beta 149.57
_cell_angle_gamma 43.57
loop_
_atom_site_label
_atom_site_type_symbol
_atom_site_fract_x
_atom_site_fract_y
_atom_site_fract_z
Pr1 Pr 0.1651 0.1651 0.0000
Pr2 Pr 0.8349 0.8349 0.0000
Sc1 Sc 0.0000 0.5000 0.5000
Sc2 Sc 0.5000 0.0000 0.5000
Ge1 Ge 0.3726 0.3726 0.0000
Ge2 Ge 0.6274 0.6274 0.0000
C1 C 0.0000 0.0000 0.0000

***

Entry 4:
# PrTc2Ge2C GGA-PBE optimized geometry
# **Total energy**: -7.698 eV/atom
data_PrTc2Ge2C
_chemical_formula_sum 'Pr1 Tc2 Ge2 C1'
_symmetry_space_group_name_H-M 'P 1'
_symmetry_Int_Tables_number 1
_symmetry_space_group_name_Hall 'P 1'
_cell_length_a 4.2029
_cell_length_b 4.2029
_cell_length_c 5.5527
_cell_angle_alpha 90.00
_cell_angle_beta 90.00
_cell_angle_gamma 90.00
loop_
_atom_site_label
_atom_site_type_symbol
_atom_site_fract_x
_atom_site_fract_y
_atom_site_fract_z
Pr1 Pr 0.0000 0.0000 0.0000
Tc1 Tc 0.0000 0.5000 0.5000
Tc2 Tc 0.5000 0.0000 0.5000
Ge1 Ge 0.5000 0.5000 0.2240
Ge2 Ge 0.5000 0.5000 0.7760
C1 C 0.0000 0.0000 0.5000

***

Entry 5:
# PrTc2GeC GGA-PBE optimized geometry
# **Total energy**: -8.230 eV/atom
data_PrTc2GeC
_chemical_formula_sum 'Pr2 Tc4 Ge2 C2'
_symmetry_space_group_name_H-M 'P 1'
_symmetry_Int_Tables_number 1
_symmetry_space_group_name_Hall 'P 1'
_cell_length_a 5.8799
_cell_length_b 5.8799
_cell_length_c 7.5396
_cell_angle_alpha 90.00
_cell_angle_beta 90.00
_cell_angle_gamma 139.71
loop_
_atom_site_label
_atom_site_type_symbol
_atom_site_fract_x
_atom_site_fract_y
_atom_site_fract_z
Pr1 Pr 0.0446 0.9554 0.7500
Pr2 Pr 0.9554 0.0446 0.2500
Tc1 Tc 0.3288 0.6712 0.5587
Tc2 Tc 0.3288 0.6712 0.9413
Tc3 Tc 0.6712 0.3288 0.0587
Tc4 Tc 0.6712 0.3288 0.4413
Ge1 Ge 0.2321 0.7679 0.2500
Ge2 Ge 0.7679 0.2321 0.7500
C1 C 0.5000 0.5000 0.0000
C2 C 0.5000 0.5000 0.5000

***

Entry 6:
# GePtC3 GGA-PBE optimized geometry
# **E above lowest polymorph**: 1.004 eV per formula unit
data_GePtC3
_chemical_formula_sum 'Ge1 Pt1 C3'
_symmetry_space_group_name_H-M 'P 1'
_symmetry_Int_Tables_number 1
_symmetry_space_group_name_Hall 'P 1'
_cell_length_a 3.9228
_cell_length_b 3.9228
_cell_length_c 3.9228
_cell_angle_alpha 90.00
_cell_angle_beta 90.00
_cell_angle_gamma 90.00
loop_
_atom_site_label
_atom_site_type_symbol
_atom_site_fract_x
_atom_site_fract_y
_atom_site_fract_z
Ge1 Ge 0.0000 0.0000 0.0000
Pt1 Pt 0.5000 0.5000 0.5000
C1 C 0.0000 0.0000 0.5000
C2 C 0.0000 0.5000 0.0000
C3 C 0.5000 0.0000 0.0000

***

Entry 7:
# GePt2C GGA-PBE optimized geometry
# **E above lowest polymorph**: 0.000 eV per formula unit
data_GePt2C
_chemical_formula_sum 'Ge2 Pt4 C2'
_symmetry_space_group_name_H-M 'P 1'
_symmetry_Int_Tables_number 1
_symmetry_space_group_name_Hall 'P 1'
_cell_length_a 6.4389
_cell_length_b 6.4389
_cell_length_c 6.4389
_cell_angle_alpha 133.98
_cell_angle_beta 133.98
_cell_angle_gamma 67.11
loop_
_atom_site_label
_atom_site_type_symbol
_atom_site_fract_x
_atom_site_fract_y
_atom_site_fract_z
Ge1 Ge 0.0000 0.0000 0.0000
Ge2 Ge 0.7500 0.2500 0.5000
Pt1 Pt 0.2060 0.6250 0.0810
Pt2 Pt 0.3750 0.4560 0.5810
Pt3 Pt 0.5440 0.1250 0.9190
Pt4 Pt 0.8750 0.7940 0.4190
C1 C 0.2500 0.7500 0.5000
C2 C 0.5000 0.5000 0.0000

***

Entry 8:
# GePt2C GGA-PBE optimized geometry
# **E above lowest polymorph**: 3.000 eV per formula unit
data_GePt2C
_chemical_formula_sum 'Ge1 Pt2 C1'
_symmetry_space_group_name_H-M 'P 1'
_symmetry_Int_Tables_number 1
_symmetry_space_group_name_Hall 'P 1'
_cell_length_a 4.2696
_cell_length_b 4.2696
_cell_length_c 4.2696
_cell_angle_alpha 60.00
_cell_angle_beta 60.00
_cell_angle_gamma 60.00
loop_
_atom_site_label
_atom_site_type_symbol
_atom_site_fract_x
_atom_site_fract_y
_atom_site_fract_z
Ge1 Ge 0.0000 0.0000 0.0000
Pt1 Pt 0.2500 0.2500 0.2500
Pt2 Pt 0.7500 0.7500 0.7500
C1 C 0.5000 0.5000 0.5000